Version a
A plane-wave DFT calculation with PBE was carried out for a relaxed MgZn3Pt crystal.

For the calculated density, the calculation gives 8.21 g cm⁻³.

Cell lengths 5.1966, 13.1650, 4.9150 Å; angles 90.00, 90.00, 90.00 degrees
Space group Cmcm (No. 63)
Unique sites:
Mg: 0.0000 0.0926 0.2500 x4
Zn: 0.0000 0.5000 0.0000 x4
Zn: 0.2475 0.3376 0.2500 x8
Pt: 0.0000 0.3302 0.7500 x4

=====

Version b
A plane-wave DFT calculation with PBE was carried out for a relaxed MgZn3Pt crystal.

For the calculated density, the calculation gives 8.42 g cm⁻³.

Cell lengths 4.9265, 5.1798, 6.4281 Å; angles 90.00, 90.83, 90.00 degrees
Space group P2_1/m (No. 11)
Unique sites:
Mg: 0.1421 0.2500 0.2741 x2
Zn: 0.3500 0.0095 0.8240 x4
Zn: 0.3654 0.7500 0.4752 x2
Pt: 0.1236 0.7500 0.1278 x2

=====

Most stable of them? version b.

=====

Version a
A plane-wave DFT calculation with PBE was carried out for a relaxed Mg2Zn2Pt crystal.

For the calculated density, the calculation gives 6.80 g cm⁻³.

Cell lengths 3.4158, 3.4158, 15.6692 Å; angles 90.00, 90.00, 90.00 degrees
Space group I4/mmm (No. 139)
Unique sites:
Mg: 0.0000 0.0000 0.0914 x4
Zn: 0.0000 0.5000 0.2500 x4
Pt: 0.0000 0.0000 0.5000 x2

=====

Version b
A plane-wave DFT calculation with PBE was carried out for a relaxed Mg2Zn2Pt crystal.

For the calculated density, the calculation gives 5.62 g cm⁻³.

Cell lengths 4.2804, 4.2804, 20.9361 Å; angles 90.00, 90.00, 120.00 degrees
Space group R-3m (No. 166, hexagonal axes)
Unique sites:
Mg: 0.0000 0.0000 0.0712 x6
Zn: 0.0000 0.0000 0.2033 x6
Pt: 0.0000 0.0000 0.5000 x3

=====

Most stable of them? version a.

=====

Version a
A plane-wave DFT calculation with PBE was carried out for a relaxed Mg2Zn2Pt crystal.

For the calculated density, the calculation gives 7.13 g cm⁻³.

Cell lengths 6.5949, 6.5949, 4.0110 Å; angles 90.00, 90.00, 90.00 degrees
Space group P4/mbm (No. 127)
Unique sites:
Mg: 0.1765 0.3235 0.0000 x4
Zn: 0.1318 0.6318 0.5000 x4
Pt: 0.0000 0.0000 0.5000 x2

=====

Version b
A plane-wave DFT calculation with PBE was carried out for a relaxed Mg2Zn2Pt crystal.

For the calculated density, the calculation gives 6.80 g cm⁻³.

Cell lengths 6.8372, 6.8372, 3.9101 Å; angles 90.00, 90.00, 90.00 degrees
Space group P4/mbm (No. 127)
Unique sites:
Mg: 0.1557 0.3443 0.0000 x4
Zn: 0.1440 0.6440 0.5000 x4
Pt: 0.0000 0.0000 0.0000 x2

=====

Version c
A plane-wave DFT calculation with PBE was carried out for a relaxed Mg2Zn2Pt crystal.

For the calculated density, the calculation gives 6.61 g cm⁻³.

Cell lengths 4.4865, 4.4865, 18.6823 Å; angles 90.00, 90.00, 90.00 degrees
Space group I4_1/amd (No. 141, origin choice 2)
Unique sites:
Mg: 0.0000 0.2500 0.0590 x8
Zn: 0.0000 0.2500 0.2099 x8
Pt: 0.0000 0.2500 0.3750 x4

=====

Most stable of them? version c.

=====

Version a
A plane-wave DFT calculation with PBE was carried out for a relaxed MgZn2Pt3 crystal.

For the calculated density, the calculation gives 13.67 g cm⁻³.

Cell lengths 4.1001, 12.3496, 7.1034 Å; angles 90.00, 90.00, 90.00 degrees
Space group Cmmm (No. 65)
Unique sites:
Mg: 0.0000 0.1640 0.0000 x4
Zn: 0.0000 0.1681 0.5000 x4
Zn: 0.0000 0.5000 0.0000 x2
Zn: 0.0000 0.5000 0.5000 x2
Pt: 0.0000 0.0000 0.2582 x4
Pt: 0.0000 0.3342 0.2563 x8

=====

Version b
A plane-wave DFT calculation with PBE was carried out for a relaxed MgZn2Pt3 crystal.

For the calculated density, the calculation gives 13.65 g cm⁻³.

Cell lengths 2.9048, 2.9048, 10.6749 Å; angles 90.00, 90.00, 90.00 degrees
Space group P4/mmm (No. 123)
Unique sites:
Mg: 0.0000 0.0000 0.0000 x1
Zn: 0.0000 0.0000 0.3365 x2
Pt: 0.5000 0.5000 0.1746 x2
Pt: 0.5000 0.5000 0.5000 x1

=====

Most stable of them? version a.

=====

Version a
A plane-wave DFT calculation with PBE was carried out for a relaxed Mg6ZnPt crystal.

For the calculated density, the calculation gives 4.34 g cm⁻³.

Cell lengths 4.6879, 4.6879, 14.1371 Å; angles 90.00, 90.00, 90.00 degrees
Space group I4/mmm (No. 139)
Unique sites:
Mg: 0.0000 0.0000 0.2461 x4
Mg: 0.0000 0.5000 0.1064 x8
Zn: 0.0000 0.0000 0.5000 x2
Pt: 0.0000 0.0000 0.0000 x2

=====

Version b
A plane-wave DFT calculation with PBE was carried out for a relaxed Mg6ZnPt crystal.

For the calculated density, the calculation gives 3.82 g cm⁻³.

Cell lengths 6.3063, 10.7683, 5.8444 Å; angles 90.00, 117.07, 90.00 degrees
Space group C2/m (No. 12)
Unique sites:
Mg: 0.2395 0.1993 0.2492 x8
Mg: 0.2454 0.0000 0.7529 x4
Zn: 0.0000 0.5000 0.5000 x2
Pt: 0.0000 0.0000 0.0000 x2

=====

Most stable of them? version a.

=====

Version a
A plane-wave DFT calculation with PBE was carried out for a relaxed MgZn6Pt2 crystal.

For the calculated density, the calculation gives 9.84 g cm⁻³.

Cell lengths 7.4582, 4.5038, 8.1641 Å; angles 90.00, 96.94, 90.00 degrees
Space group C2/m (No. 12)
Unique sites:
Mg: 0.0000 0.0000 0.0000 x2
Zn: 0.0131 0.0000 0.3365 x4
Zn: 0.1660 0.5000 0.4591 x4
Zn: 0.1807 0.5000 0.1279 x4
Pt: 0.1452 0.5000 0.7918 x4

=====

Version b
A plane-wave DFT calculation with PBE was carried out for a relaxed MgZn6Pt2 crystal.

For the calculated density, the calculation gives 9.32 g cm⁻³.

Cell lengths 4.2777, 5.3976, 12.4508 Å; angles 90.00, 90.00, 90.00 degrees
Space group Immm (No. 71)
Unique sites:
Mg: 0.0000 0.0000 0.0000 x2
Zn: 0.0000 0.2260 0.5000 x4
Zn: 0.0000 0.2527 0.3020 x8
Pt: 0.0000 0.5000 0.1162 x4

=====

Most stable of them? version a.

=====

Version a
A plane-wave DFT calculation with PBE was carried out for a relaxed Mg2Zn6Pt crystal.

For the calculated density, the calculation gives 7.13 g cm⁻³.

Cell lengths 9.0226, 5.0579, 6.6078 Å; angles 90.00, 100.78, 90.00 degrees
Space group C2/m (No. 12)
Unique sites:
Mg: 0.1645 0.0000 0.0894 x4
Zn: 0.0735 0.2476 0.6923 x8
Zn: 0.1964 0.5000 0.3914 x4
Pt: 0.0000 0.5000 0.0000 x2

=====

Version b
A plane-wave DFT calculation with PBE was carried out for a relaxed Mg2Zn6Pt crystal.

For the calculated density, the calculation gives 6.98 g cm⁻³.

Cell lengths 5.1719, 5.1719, 6.5325 Å; angles 90.00, 90.00, 120.00 degrees
Space group P-3m1 (No. 164)
Unique sites:
Mg: 0.3333 0.6667 0.4256 x2
Zn: 0.1704 0.3409 0.8282 x6
Pt: 0.0000 0.0000 0.5000 x1

=====

Most stable of them? version a.

=====

Version a
A plane-wave DFT calculation with PBE was carried out for a relaxed Mg3Zn2Pt3 crystal.

For the calculated density, the calculation gives 9.70 g cm⁻³.

Cell lengths 7.7974, 7.7974, 5.1319 Å; angles 90.00, 90.00, 120.00 degrees
Space group P6_3/mcm (No. 193)
Unique sites:
Mg: 0.0000 0.2567 0.2500 x6
Zn: 0.3333 0.6667 0.0000 x4
Pt: 0.0000 0.3925 0.7500 x6

=====

Version b
A plane-wave DFT calculation with PBE was carried out for a relaxed Mg3Zn2Pt3 crystal.

For the calculated density, the calculation gives 10.48 g cm⁻³.

Cell lengths 3.6800, 4.1128, 16.5247 Å; angles 90.00, 90.00, 90.00 degrees
Space group Immm (No. 71)
Unique sites:
Mg: 0.0000 0.0000 0.0000 x2
Mg: 0.0000 0.5000 0.1237 x4
Zn: 0.0000 0.0000 0.2510 x4
Pt: 0.0000 0.0000 0.5000 x2
Pt: 0.0000 0.5000 0.3663 x4

=====

Most stable of them? version b.

=====

Version a
A plane-wave DFT calculation with PBE was carried out for a relaxed PuMgTlRh crystal.

For the calculated density, the calculation gives 11.00 g cm⁻³.

Cell lengths 7.0300, 7.0300, 7.0300 Å; angles 90.00, 90.00, 90.00 degrees
Space group F-43m (No. 216)
Unique sites:
Pu: 0.0000 0.0000 0.0000 x4
Mg: 0.0000 0.0000 0.5000 x4
Tl: 0.2500 0.2500 0.7500 x4
Rh: 0.2500 0.2500 0.2500 x4

=====

Version b
A plane-wave DFT calculation with PBE was carried out for a relaxed PuMgTlRh crystal.

For the calculated density, the calculation gives 11.13 g cm⁻³.

Cell lengths 3.2687, 3.2687, 8.0360 Å; angles 90.00, 90.00, 90.00 degrees
Space group P4mm (No. 99)
Unique sites:
Pu: 0.0000 0.0000 0.0000 x1
Mg: 0.0000 0.0000 0.5899 x1
Tl: 0.5000 0.5000 0.3181 x1
Rh: 0.5000 0.5000 0.7768 x1

=====

Most stable of them? version b.

=====

Version a
A plane-wave DFT calculation with PBE was carried out for a relaxed Pu2MgRu3 crystal.

For the calculated density, the calculation gives 12.63 g cm⁻³.

Cell lengths 4.5829, 13.5966, 3.4424 Å; angles 90.00, 90.00, 90.00 degrees
Space group Pmmn (No. 59, origin choice 2)
Unique sites:
Pu: 0.2500 0.0906 0.0009 x4
Mg: 0.2500 0.7500 0.9980 x2
Ru: 0.2500 0.2500 0.5017 x2
Ru: 0.2500 0.5820 0.4989 x4

=====

Version b
A plane-wave DFT calculation with PBE was carried out for a relaxed Pu2MgRu3 crystal.

For the calculated density, the calculation gives 12.56 g cm⁻³.

Cell lengths 3.3328, 3.3328, 9.7100 Å; angles 90.00, 90.00, 90.00 degrees
Space group P4/mmm (No. 123)
Unique sites:
Pu: 0.0000 0.0000 0.1778 x2
Mg: 0.0000 0.0000 0.5000 x1
Ru: 0.5000 0.5000 0.0000 x1
Ru: 0.5000 0.5000 0.3359 x2

=====

Most stable of them? version a.

=====

Version a
A plane-wave DFT calculation with PBE was carried out for a relaxed PuMg2Sb crystal.

For the calculated density, the calculation gives 6.99 g cm⁻³.

Cell lengths 4.4696, 4.4696, 4.9291 Å; angles 90.00, 90.00, 90.00 degrees
Space group P4/mmm (No. 123)
Unique sites:
Pu: 0.0000 0.0000 0.0000 x1
Mg: 0.0000 0.5000 0.5000 x2
Sb: 0.5000 0.5000 0.0000 x1

=====

Version b
A plane-wave DFT calculation with PBE was carried out for a relaxed PuMg2Sb crystal.

For the calculated density, the calculation gives 6.58 g cm⁻³.

Cell lengths 3.2478, 3.2478, 34.3432 Å; angles 90.00, 90.00, 120.00 degrees
Space group R-3m (No. 166, hexagonal axes)
Unique sites:
Pu: 0.0000 0.0000 0.0000 x3
Mg: 0.0000 0.0000 0.0914 x6
Sb: 0.0000 0.0000 0.5000 x3

=====

Most stable of them? version a.